Record 1
This record from the Alexandria database describes a geometry-optimized NaCa2Ag2Pb2 structure. The functional is PBE-GGA.

Calculated values
* energy: -19.83 eV for the cell shown
* formation enthalpy at 0 K: -0.20 eV/atom

The structure in CIF format:
```
data_NaCa2Ag2Pb2
_chemical_formula_sum 'Na1 Ca2 Ag2 Pb2'
_cell_length_a 9.794
_cell_length_b 9.794
_cell_length_c 9.794
_cell_angle_alpha 29.65
_cell_angle_beta 29.65
_cell_angle_gamma 29.65
_space_group_name_H-M_alt 'P 1'
_space_group_IT_number 1
loop_
_space_group_symop_operation_xyz
'x,y,z'
loop_
_atom_site_label
_atom_site_type_symbol
_atom_site_fract_x
_atom_site_fract_y
_atom_site_fract_z
Na1 Na 0.000 0.000 0.000
Ca1 Ca 0.126 0.126 0.126
Ca2 Ca 0.874 0.874 0.874
Ag1 Ag 0.400 0.400 0.400
Ag2 Ag 0.600 0.600 0.600
Pb1 Pb 0.258 0.258 0.258
Pb2 Pb 0.742 0.742 0.742
```

=====

Record 2
This record from the Alexandria database describes a geometry-optimized TlGaS3 structure. The functional is PBE-GGA.

Calculated values
* energy: -39.79 eV for the cell shown

The structure in CIF format:
```
data_TlGaS3
_chemical_formula_sum 'Tl2 Ga2 S6'
_cell_length_a 5.007
_cell_length_b 6.797
_cell_length_c 8.093
_cell_angle_alpha 90.00
_cell_angle_beta 98.61
_cell_angle_gamma 90.00
_space_group_name_H-M_alt 'P 1'
_space_group_IT_number 1
loop_
_space_group_symop_operation_xyz
'x,y,z'
loop_
_atom_site_label
_atom_site_type_symbol
_atom_site_fract_x
_atom_site_fract_y
_atom_site_fract_z
Tl1 Tl 0.215 0.000 0.362
Tl2 Tl 0.785 0.500 0.638
Ga1 Ga 0.473 0.070 0.887
Ga2 Ga 0.527 0.570 0.113
S1 S 0.100 0.885 0.764
S2 S 0.239 0.551 0.319
S3 S 0.348 0.397 0.879
S4 S 0.652 0.897 0.121
S5 S 0.761 0.051 0.681
S6 S 0.900 0.385 0.236
```